First-principles (GGA-PBE) data for a geometry-optimized Zn2GaSi2Rh5 structure, as listed in Alexandria via LeMat-Bulk.

Unit cell a=9.464 b=9.464 c=3.258 alpha=90.00 beta=90.00 gamma=90.00
Fractional coordinates of all 20 atoms:
Zn 0.170 0.330 0.000
Zn 0.330 0.830 0.000
Zn 0.670 0.170 0.000
Zn 0.830 0.670 0.000
Ga 0.000 0.000 0.000
Ga 0.500 0.500 0.000
Si 0.133 0.633 0.000
Si 0.367 0.133 0.000
Si 0.633 0.867 0.000
Si 0.867 0.367 0.000
Rh 0.000 0.500 0.500
Rh 0.084 0.802 0.500
Rh 0.198 0.084 0.500
Rh 0.302 0.584 0.500
Rh 0.416 0.302 0.500
Rh 0.500 0.000 0.500
Rh 0.584 0.698 0.500
Rh 0.698 0.416 0.500
Rh 0.802 0.916 0.500
Rh 0.916 0.198 0.500

Results
Its space group is P4/mbm. The energy comes out at -117.17 eV per cell. As for the raw formation energy: -541 meV per atom. The calculation puts the total magnetization at 0.00 Bohr magnetons per cell.

First-principles (GGA-PBE) data for a geometry-optimized Sr2LiY structure, as listed in Alexandria via LeMat-Bulk.

Unit cell a=4.285 b=4.283 c=8.558 alpha=90.00 beta=90.06 gamma=90.00
Fractional coordinates of all 4 atoms:
Sr 0.001 0.000 0.261
Sr 0.999 0.000 0.739
Li 0.500 0.500 0.500
Y 0.500 0.500 0.000

Results
Its space group is P2/m. The energy comes out at -11.12 eV per cell. The calculation puts the total magnetization at 0.00 Bohr magnetons per cell. As for the energy of formation: 155 meV/atom. As for the energy above the most stable polymorph in this dataset: 17.3 meV/atom.

First-principles (GGA-PBE) data for a geometry-optimized BaTlH6Pd2 structure, as listed in Alexandria via LeMat-Bulk.

Unit cell a=6.590 b=6.590 c=7.086 alpha=105.20 beta=105.20 gamma=98.46
Fractional coordinates of all 20 atoms:
Ba 0.152 0.848 0.750
Ba 0.848 0.152 0.250
Tl 0.416 0.584 0.250
Tl 0.584 0.416 0.750
H 0.062 0.554 0.381
H 0.081 0.218 0.984
H 0.218 0.081 0.484
H 0.266 0.418 0.814
H 0.418 0.266 0.314
H 0.446 0.938 0.119
H 0.554 0.062 0.881
H 0.582 0.734 0.686
H 0.734 0.582 0.186
H 0.782 0.919 0.516
H 0.919 0.782 0.016
H 0.938 0.446 0.619
Pd 0.012 0.338 0.807
Pd 0.338 0.012 0.307
Pd 0.662 0.988 0.693
Pd 0.988 0.662 0.193

Results
Its space group is C2/c. The energy comes out at -72.60 eV per cell. The calculation puts the total magnetization at 0.00 Bohr magnetons per cell.

First-principles (GGA-PBE) data for a geometry-optimized CeMnPd6 structure, as listed in Alexandria via LeMat-Bulk.

Unit cell a=4.081 b=4.081 c=7.952 alpha=90.00 beta=90.00 gamma=90.00
Fractional coordinates of all 8 atoms:
Ce 0.000 0.000 0.000
Mn 0.000 0.000 0.500
Pd 0.000 0.500 0.260
Pd 0.000 0.500 0.740
Pd 0.500 0.000 0.260
Pd 0.500 0.000 0.740
Pd 0.500 0.500 0.000
Pd 0.500 0.500 0.500

Results
Its space group is P4/mmm. The energy comes out at -50.47 eV per cell. The calculation puts the total magnetization at 4.36 Bohr magnetons per cell. As for the energy of formation: -526 meV/atom.

First-principles (GGA-PBE) data for a geometry-optimized PaGaCu3 structure, as listed in Alexandria via LeMat-Bulk.

Unit cell a=8.210 b=4.126 c=9.694 alpha=90.00 beta=90.00 gamma=90.00
Fractional coordinates of all 20 atoms:
Pa 0.185 0.250 0.003
Pa 0.315 0.750 0.503
Pa 0.685 0.250 0.497
Pa 0.815 0.750 0.997
Ga 0.085 0.250 0.374
Ga 0.415 0.750 0.874
Ga 0.585 0.250 0.126
Ga 0.915 0.750 0.626
Cu 0.105 0.250 0.631
Cu 0.109 0.750 0.201
Cu 0.124 0.750 0.799
Cu 0.376 0.250 0.299
Cu 0.391 0.250 0.701
Cu 0.395 0.750 0.131
Cu 0.605 0.250 0.869
Cu 0.609 0.750 0.299
Cu 0.624 0.750 0.701
Cu 0.876 0.250 0.201
Cu 0.891 0.250 0.799
Cu 0.895 0.750 0.369

Results
Its space group is Pnma. The energy comes out at -100.35 eV per cell. The calculation puts the total magnetization at 0.00 Bohr magnetons per cell. As for the energy of formation: -55 meV/atom.

First-principles (GGA-PBE) data for a geometry-optimized Tb2Mg7 structure, as listed in Alexandria via LeMat-Bulk.

Unit cell a=15.091 b=15.091 c=15.091 alpha=22.96 beta=22.96 gamma=22.96
Fractional coordinates of all 18 atoms:
Tb 0.055 0.055 0.055
Tb 0.152 0.152 0.152
Tb 0.848 0.848 0.848
Tb 0.945 0.945 0.945
Mg 0.000 0.500 0.500
Mg 0.107 0.614 0.614
Mg 0.278 0.278 0.278
Mg 0.386 0.386 0.893
Mg 0.386 0.893 0.386
Mg 0.389 0.389 0.389
Mg 0.500 0.000 0.500
Mg 0.500 0.500 0.000
Mg 0.500 0.500 0.500
Mg 0.611 0.611 0.611
Mg 0.614 0.107 0.614
Mg 0.614 0.614 0.107
Mg 0.722 0.722 0.722
Mg 0.893 0.386 0.386

Results
Its space group is R-3m. The energy comes out at -41.11 eV per cell. The calculation puts the total magnetization at 0.00 Bohr magnetons per cell. As for the energy of formation: -15 meV/atom.

First-principles (GGA-PBE) data for a geometry-optimized Tb6PrY2Ho structure, as listed in Alexandria via LeMat-Bulk.

Unit cell a=8.822 b=8.822 c=9.596 alpha=93.84 beta=93.84 gamma=117.34
Fractional coordinates of all 20 atoms:
Tb 0.024 0.571 0.183
Tb 0.118 0.754 0.557
Tb 0.246 0.882 0.943
Tb 0.293 0.510 0.380
Tb 0.429 0.976 0.317
Tb 0.490 0.707 0.120
Tb 0.510 0.293 0.880
Tb 0.571 0.024 0.683
Tb 0.707 0.490 0.620
Tb 0.754 0.118 0.057
Tb 0.882 0.246 0.443
Tb 0.976 0.429 0.817
Pr 0.406 0.594 0.750
Pr 0.594 0.406 0.250
Y 0.194 0.295 0.045
Y 0.295 0.194 0.545
Y 0.705 0.806 0.455
Y 0.806 0.705 0.955
Ho 0.028 0.972 0.250
Ho 0.972 0.028 0.750

Results
Its space group is C2/c. The energy comes out at -97.60 eV per cell. The calculation puts the total magnetization at 0.00 Bohr magnetons per cell. As for the energy of formation: 127 meV/atom.

First-principles (GGA-PBE) data for a geometry-optimized NaMg3Br structure, as listed in Alexandria via LeMat-Bulk.

Unit cell a=5.733 b=5.733 c=5.733 alpha=90.00 beta=90.00 gamma=90.00
Fractional coordinates of all 5 atoms:
Na 0.000 0.000 0.000
Mg 0.000 0.000 0.500
Mg 0.000 0.500 0.000
Mg 0.500 0.000 0.000
Br 0.500 0.500 0.500

Results
Its space group is Pm-3m. The energy comes out at -5.91 eV per cell. As for the raw formation energy: 374 meV per atom. The calculation puts the total magnetization at 0.00 Bohr magnetons per cell. As for the energy above the most stable polymorph in this dataset: 130.9 meV/atom.

First-principles (GGA-PBE) data for a geometry-optimized Ho5HgRu structure, as listed in Alexandria via LeMat-Bulk.

Unit cell a=5.900 b=5.900 c=11.731 alpha=102.57 beta=102.57 gamma=76.39
Fractional coordinates of all 14 atoms:
Ho 0.005 0.995 0.750
Ho 0.082 0.417 0.126
Ho 0.210 0.546 0.436
Ho 0.417 0.082 0.626
Ho 0.454 0.790 0.064
Ho 0.546 0.210 0.936
Ho 0.583 0.918 0.374
Ho 0.790 0.454 0.564
Ho 0.918 0.583 0.874
Ho 0.995 0.005 0.250
Hg 0.416 0.584 0.750
Hg 0.584 0.416 0.250
Ru 0.000 0.000 0.000
Ru 0.000 0.000 0.500

Results
Its space group is C2/c. The energy comes out at -67.55 eV per cell. The calculation puts the total magnetization at 0.00 Bohr magnetons per cell. As for the energy of formation: -187 meV/atom.

First-principles (GGA-PBE) data for a geometry-optimized SrPb2W structure, as listed in Alexandria via LeMat-Bulk.

Unit cell a=9.396 b=9.396 c=9.396 alpha=22.95 beta=22.95 gamma=22.95
Fractional coordinates of all 4 atoms:
Sr 0.000 0.000 0.000
Pb 0.237 0.237 0.237
Pb 0.763 0.763 0.763
W 0.500 0.500 0.500

Results
Its space group is R-3m. The energy comes out at -19.72 eV per cell. The calculation puts the total magnetization at 0.21 Bohr magnetons per cell. As for the energy of formation: 583 meV/atom. As for the energy above the most stable polymorph in this dataset: 132.2 meV/atom.

First-principles (GGA-PBE) data for a geometry-optimized Fe2AuBr structure, as listed in Alexandria via LeMat-Bulk.

Unit cell a=3.203 b=3.203 c=7.037 alpha=90.00 beta=90.00 gamma=90.00
Fractional coordinates of all 4 atoms:
Fe 0.000 0.000 0.000
Fe 0.500 0.500 0.162
Au 0.000 0.000 0.381
Br 0.500 0.500 0.782

Results
Its space group is P4mm. The energy comes out at -20.74 eV per cell. As for the raw formation energy: 283 meV per atom. The calculation puts the total magnetization at 5.94 Bohr magnetons per cell.

First-principles (GGA-PBE) data for a geometry-optimized CdPd6Au5 structure, as listed in Alexandria via LeMat-Bulk.

Unit cell a=7.648 b=7.648 c=7.648 alpha=148.25 beta=119.76 gamma=69.71
Fractional coordinates of all 12 atoms:
Cd 0.000 0.000 0.000
Pd 0.083 0.833 0.250
Pd 0.250 0.500 0.750
Pd 0.417 0.167 0.250
Pd 0.583 0.833 0.750
Pd 0.750 0.500 0.250
Pd 0.917 0.167 0.750
Au 0.167 0.667 0.500
Au 0.333 0.333 0.000
Au 0.500 0.000 0.500
Au 0.667 0.667 0.000
Au 0.833 0.333 0.500

Results
Its space group is Immm. The energy comes out at -50.22 eV per cell. The calculation puts the total magnetization at 0.00 Bohr magnetons per cell. As for the energy of formation: -147 meV/atom.